1.
First-principles (PBE) data for an optimized crystal structure of Sr2Ga4Cu3Ir, as listed in the Alexandria database.

D(E_F), states/eV/atom: 0.740
Electronic total energy, eV per atom: -4.013
Energy of formation from the pure elements, kJ/mol of formula units: -338

extended XYZ file:
```
10
Lattice="4.252 0.000 0.000 0.000 4.252 0.000 0.000 0.000 10.680" Properties=species:S:1:pos:R:3 pbc="T T T"
Ga 2.126 2.126 0.000
Ga 0.000 2.126 3.996
Ga 2.126 0.000 6.684
Ga 0.000 0.000 0.000
Sr 2.126 0.000 2.668
Sr 0.000 2.126 8.012
Cu 0.000 2.126 1.402
Cu 2.126 0.000 9.278
Cu 0.000 0.000 5.340
Ir 2.126 2.126 5.340
```

=====

2.
First-principles (PBE) data for an optimized crystal structure of TaGaCuIr, as listed in the Alexandria database.

D(E_F), states/eV/atom: 0.012
Electronic total energy, eV per atom: -7.286
Energy of formation from the pure elements, kJ/mol of formula units: -126

extended XYZ file:
```
4
Lattice="-0.447 3.590 2.488 -2.687 3.231 -1.271 -3.751 0.717 2.167" Properties=species:S:1:pos:R:3 pbc="T T T"
Cu -1.721 1.885 0.846
Ga -3.442 3.769 1.691
Ta 0.000 0.000 0.000
Ir -5.163 5.654 2.537
```

=====

3.
First-principles (PBE) data for an optimized crystal structure of Tb2Ga4CuIr3, as listed in the Alexandria database.

D(E_F), states/eV/atom: 0.477
Electronic total energy, eV per atom: -5.838
Energy of formation from the pure elements, kJ/mol of formula units: -611

extended XYZ file:
```
10
Lattice="4.025 0.000 0.000 0.000 4.025 0.000 0.000 0.000 11.172" Properties=species:S:1:pos:R:3 pbc="T T T"
Tb 0.000 2.013 8.438
Tb 2.013 0.000 2.734
Ga 2.013 0.000 7.060
Ga 0.000 0.000 0.000
Ga 2.013 2.013 0.000
Ga 0.000 2.013 4.111
Ir 0.000 0.000 5.586
Ir 0.000 2.013 1.597
Ir 2.013 0.000 9.575
Cu 2.013 2.013 5.586
```

=====

4.
First-principles (PBE) data for an optimized crystal structure of TbGa3CuIr, as listed in the Alexandria database.

D(E_F), states/eV/atom: 0.392
Electronic total energy, eV per atom: -4.754
Energy of formation from the pure elements, kJ/mol of formula units: -179

extended XYZ file:
```
12
Lattice="6.213 0.000 0.000 0.000 6.053 0.000 0.000 -3.027 5.870" Properties=species:S:1:pos:R:3 pbc="T T T"
Ga 3.107 4.323 0.000
Ga 4.660 3.027 3.985
Ga 0.000 1.730 0.000
Ga 3.107 1.730 0.000
Ga 1.553 0.000 1.885
Ga 0.000 4.323 0.000
Tb 1.553 3.027 2.523
Tb 4.660 0.000 3.347
Cu 4.660 0.000 0.598
Cu 1.553 3.027 5.272
Ir 4.660 3.027 1.549
Ir 1.553 0.000 4.321
```

=====

5.
First-principles (PBE) data for an optimized crystal structure of GaCuTcIr2, as listed in the Alexandria database.

D(E_F), states/eV/atom: 0.674
Electronic total energy, eV per atom: -5.703
Energy of formation from the pure elements, kJ/mol of formula units: 646

extended XYZ file:
```
5
Lattice="4.690 0.000 0.000 0.000 4.754 0.000 0.000 0.000 4.690" Properties=species:S:1:pos:R:3 pbc="T T T"
Tc 0.000 0.000 0.000
Cu 2.345 2.377 2.345
Ir 2.345 0.000 0.000
Ir 0.000 0.000 2.345
Ga 0.000 2.377 0.000
```

=====

6.
First-principles (PBE) data for an optimized crystal structure of Ti2GaCuIr, as listed in the Alexandria database.

D(E_F), states/eV/atom: 1.578
Electronic total energy, eV per atom: -5.934
Energy of formation from the pure elements, kJ/mol of formula units: 203

extended XYZ file:
```
5
Lattice="-2.178 3.779 1.698 1.195 -1.295 4.415 3.972 2.450 -0.357" Properties=species:S:1:pos:R:3 pbc="T T T"
Ir 0.000 0.000 0.000
Ga 1.494 2.467 2.878
Ti 1.986 1.225 -0.178
Ti -1.089 1.889 0.849
Cu 0.598 -0.648 2.208
```

=====

7.
First-principles (PBE) data for an optimized crystal structure of Tm2Ga4Cu3Ir, as listed in the Alexandria database.

D(E_F), states/eV/atom: 0.413
Electronic total energy, eV per atom: -4.698
Energy of formation from the pure elements, kJ/mol of formula units: -461

extended XYZ file:
```
10
Lattice="-0.033 2.539 3.095 -1.343 -2.923 2.383 10.001 -2.701 2.324" Properties=species:S:1:pos:R:3 pbc="T T T"
Ir 4.312 -1.542 3.901
Cu 8.604 -1.059 3.551
Cu 0.708 -1.834 1.512
Cu 5.000 -1.351 1.162
Tm 2.471 0.598 2.126
Tm 6.842 -3.491 2.938
Ga 6.375 -0.457 3.033
Ga -0.688 -0.192 2.739
Ga 2.937 -2.436 2.030
Ga 0.000 0.000 0.000
```

=====

8.
First-principles (PBE) data for an optimized crystal structure of TmGaCuIr, as listed in the Alexandria database.

D(E_F), states/eV/atom: 0.727
Electronic total energy, eV per atom: -5.572
Energy of formation from the pure elements, kJ/mol of formula units: -177

extended XYZ file:
```
4
Lattice="-3.244 -3.070 -0.904 0.846 -3.427 -2.881 0.390 -4.258 1.576" Properties=species:S:1:pos:R:3 pbc="T T T"
Tm 0.000 0.000 0.000
Cu -0.502 -2.689 -0.552
Ir -1.506 -8.066 -1.657
Ga -1.004 -5.377 -1.104
```

=====

- electronic total energy of number 2 (TaGaCuIr)?
  -7.286 eV per atom